[1]
# Ag2MoAu | Alexandria via LeMat-Bulk | GGA-PBE | optimized geometry
# - density of states at the Fermi level (states/eV per atom) = 0.7684
# - uncorrected energy (eV/atom) = -4.723
# - energy of formation from the pure elements (meV/atom) = 230
# - volume (Å³ per cell) = 68.49
# - relative energy among the computed polymorphs (meV/atom) = 0
data_Ag2MoAu
_cell_length_a 2.810
_cell_length_b 2.810
_cell_length_c 8.676
_cell_angle_alpha 90.00
_cell_angle_beta 90.00
_cell_angle_gamma 90.00
_space_group_name_H-M_alt 'P 4 m m'
_space_group_IT_number 99
loop_
_space_group_symop_operation_xyz
'x,y,z'
'-y,x,z'
'-x,-y,z'
'y,-x,z'
'-x,y,z'
'y,x,z'
'x,-y,z'
'-y,-x,z'
loop_
_atom_site_label
_atom_site_type_symbol
_atom_site_fract_x
_atom_site_fract_y
_atom_site_fract_z
_atom_site_occupancy
Ag1 Ag 0.000 0.000 0.000 1
Ag2 Ag 0.500 0.500 0.254 1
Mo1 Mo 0.500 0.500 0.752 1
Au1 Au 0.000 0.000 0.512 1


[2]
# AgMoAu2 | Alexandria via LeMat-Bulk | GGA-PBE | optimized geometry
# - density of states at the Fermi level (states/eV per atom) = 0.8416
# - uncorrected energy (eV/atom) = -4.606
# - energy of formation from the pure elements (meV/atom) = 453
# - volume (Å³ per cell) = 70.66
# - relative energy among the computed polymorphs (meV/atom) = 322
data_AgMoAu2
_cell_length_a 2.789
_cell_length_b 4.988
_cell_length_c 5.079
_cell_angle_alpha 90.00
_cell_angle_beta 90.00
_cell_angle_gamma 90.00
_space_group_name_H-M_alt 'P m m m'
_space_group_IT_number 47
loop_
_space_group_symop_operation_xyz
'x,y,z'
'-x,-y,-z'
'-x,-y,z'
'x,y,-z'
'x,-y,-z'
'-x,y,z'
'-x,y,-z'
'x,-y,z'
loop_
_atom_site_label
_atom_site_type_symbol
_atom_site_fract_x
_atom_site_fract_y
_atom_site_fract_z
_atom_site_occupancy
Ag1 Ag 0.000 0.000 0.000 1
Mo1 Mo 0.500 0.000 0.500 1
Au1 Au 0.000 0.500 0.500 1
Au2 Au 0.500 0.500 0.000 1


[3]
# Ag2MoAu | Alexandria via LeMat-Bulk | GGA-PBE | optimized geometry
# - density of states at the Fermi level (states/eV per atom) = 0.7566
# - uncorrected energy (eV/atom) = -4.558
# - energy of formation from the pure elements (meV/atom) = 395
# - volume (Å³ per cell) = 137.96
# - relative energy among the computed polymorphs (meV/atom) = 165
data_Ag2MoAu
_cell_length_a 9.553
_cell_length_b 2.763
_cell_length_c 5.267
_cell_angle_alpha 90.00
_cell_angle_beta 97.09
_cell_angle_gamma 90.00
_space_group_name_H-M_alt 'C 1 m 1'
_space_group_IT_number 8
loop_
_space_group_symop_operation_xyz
'x,y,z'
'x,-y,z'
'x+1/2,y+1/2,z'
'x+1/2,-y+1/2,z'
loop_
_atom_site_label
_atom_site_type_symbol
_atom_site_fract_x
_atom_site_fract_y
_atom_site_fract_z
_atom_site_occupancy
Ag1 Ag 0.000 0.000 0.000 1
Ag2 Ag 0.247 0.000 0.770 1
Mo1 Mo 0.249 0.500 0.274 1
Au1 Au 0.494 0.000 0.487 1


[4]
# Ag2MoAu | Alexandria via LeMat-Bulk | GGA-PBE | optimized geometry
# - density of states at the Fermi level (states/eV per atom) = 0.9112
# - uncorrected energy (eV/atom) = -4.417
# - energy of formation from the pure elements (meV/atom) = 536
# - volume (Å³ per cell) = 141.95
# - relative energy among the computed polymorphs (meV/atom) = 306
data_Ag2MoAu
_cell_length_a 4.087
_cell_length_b 4.087
_cell_length_c 8.499
_cell_angle_alpha 90.00
_cell_angle_beta 90.00
_cell_angle_gamma 90.00
_space_group_name_H-M_alt 'I 4/m m m'
_space_group_IT_number 139
_space_group_name_Hall '-I 4 2'
loop_
_atom_site_label
_atom_site_type_symbol
_atom_site_fract_x
_atom_site_fract_y
_atom_site_fract_z
_atom_site_occupancy
Ag1 Ag 0.000 0.500 0.250 1
Mo1 Mo 0.000 0.000 0.000 1
Au1 Au 0.000 0.000 0.500 1